1.
! PBE BeOsPb, relaxed; values from VASP
&SYSTEM
  ibrav = 0, nat = 3, ntyp = 3
/
ATOMIC_SPECIES
Be 9.01 Be.upf
Os 190.23 Os.upf
Pb 207.20 Pb.upf
ATOMIC_POSITIONS crystal
Be 0.000 0.000 0.000
Os 0.250 0.250 0.250
Pb 0.750 0.750 0.750
CELL_PARAMETERS angstrom
4.038 -0.727 0.434
1.296 -3.629 1.473
1.893 -2.683 -2.498
! Total moment, μB/f.u.: 0.00
! Polymorph energy (0 for the lowest one), meV/atom: 0.0



2.
! PBE Zr2Nb2Co, relaxed; values from VASP
&SYSTEM
  ibrav = 0, nat = 5, ntyp = 3
/
ATOMIC_SPECIES
Zr 91.22 Zr.upf
Nb 92.91 Nb.upf
Co 58.93 Co.upf
ATOMIC_POSITIONS crystal
Zr 0.410 0.410 0.821
Zr 0.590 0.590 0.179
Nb 0.750 0.250 0.500
Nb 0.250 0.750 0.500
Co 0.000 0.000 0.000
CELL_PARAMETERS angstrom
-1.976 2.697 1.357
0.638 -1.212 3.338
6.975 3.676 -1.949
! E_form, eV per atom: 0.628
! Total moment, μB/f.u.: 0.17



3.
! PBE YErCl6, relaxed; values from VASP
&SYSTEM
  ibrav = 0, nat = 8, ntyp = 3
/
ATOMIC_SPECIES
Er 167.26 Er.upf
Cl 35.45 Cl.upf
Y 88.91 Y.upf
ATOMIC_POSITIONS crystal
Er 0.834 0.166 0.000
Cl 0.061 0.417 0.759
Cl 0.936 0.577 0.242
Cl 0.423 0.064 0.758
Cl 0.222 0.225 0.245
Cl 0.775 0.778 0.755
Cl 0.583 0.939 0.241
Y 0.166 0.834 0.000
CELL_PARAMETERS angstrom
3.409 -5.923 0.000
3.409 5.923 0.000
-2.290 0.000 6.015
! E, eV for the cell shown: -40.31
! Total moment, μB/f.u.: 0.00



4.
! PBE SmZrIr, relaxed; values from VASP
&SYSTEM
  ibrav = 0, nat = 6, ntyp = 3
/
ATOMIC_SPECIES
Ir 192.22 Ir.upf
Sm 150.36 Sm.upf
Zr 91.22 Zr.upf
ATOMIC_POSITIONS crystal
Ir 0.750 0.750 0.792
Ir 0.250 0.250 0.208
Sm 0.250 0.250 0.630
Sm 0.750 0.750 0.370
Zr 0.250 0.750 0.000
Zr 0.750 0.250 0.000
CELL_PARAMETERS angstrom
3.280 -3.280 0.000
3.280 3.280 0.000
-0.006 0.000 6.736
! E_form, eV per atom: -0.659
! Total moment, μB/f.u.: 0.01
! Polymorph energy (0 for the lowest one), meV/atom: 0.0



5.
! PBE BeCuTcSb, relaxed; values from VASP
&SYSTEM
  ibrav = 0, nat = 4, ntyp = 4
/
ATOMIC_SPECIES
Sb 121.76 Sb.upf
Tc 98.00 Tc.upf
Cu 63.55 Cu.upf
Be 9.01 Be.upf
ATOMIC_POSITIONS crystal
Sb 0.000 0.000 0.000
Tc 0.500 0.500 0.500
Cu 0.750 0.750 0.750
Be 0.250 0.250 0.250
CELL_PARAMETERS angstrom
0.000 3.057 3.057
3.057 0.000 3.057
3.057 3.057 0.000
! Total moment, μB/f.u.: 0.00
! Polymorph energy (0 for the lowest one), meV/atom: 206.9



6.
! PBE Y2Nb4Tl3C3, relaxed; values from VASP
&SYSTEM
  ibrav = 0, nat = 24, ntyp = 4
/
ATOMIC_SPECIES
Y 88.91 Y.upf
Nb 92.91 Nb.upf
C 12.01 C.upf
Tl 204.38 Tl.upf
ATOMIC_POSITIONS crystal
Y 0.622 0.313 0.601
Y 0.378 0.687 0.399
Y 0.535 0.187 0.899
Y 0.465 0.813 0.101
Nb 0.845 0.535 0.928
Nb 0.987 0.645 0.572
Nb 0.204 0.855 0.928
Nb 0.013 0.355 0.428
Nb 0.796 0.145 0.072
Nb 0.155 0.465 0.072
Nb 0.692 0.035 0.428
Nb 0.308 0.965 0.572
C 0.149 0.176 0.000
C 0.325 0.324 0.500
C 0.500 0.500 0.000
C 0.675 0.676 0.500
C 0.000 0.000 0.500
C 0.851 0.824 0.000
Tl 0.584 0.856 0.746
Tl 0.814 0.356 0.246
Tl 0.023 0.750 0.250
Tl 0.186 0.644 0.754
Tl 0.977 0.250 0.750
Tl 0.416 0.144 0.254
CELL_PARAMETERS angstrom
5.847 0.000 0.000
2.923 5.071 0.000
2.923 1.626 14.701
! E, eV for the cell shown: -184.98
! Total moment, μB/f.u.: 0.01



7.
! PBE HoAlHgTe3, relaxed; values from VASP
&SYSTEM
  ibrav = 0, nat = 12, ntyp = 4
/
ATOMIC_SPECIES
Te 127.60 Te.upf
Al 26.98 Al.upf
Ho 164.93 Ho.upf
Hg 200.59 Hg.upf
ATOMIC_POSITIONS crystal
Te 0.377 0.623 0.560
Te 0.059 0.941 0.750
Te 0.377 0.623 0.940
Te 0.623 0.377 0.440
Te 0.941 0.059 0.250
Te 0.623 0.377 0.060
Al 0.545 0.455 0.250
Al 0.455 0.545 0.750
Ho 0.000 0.000 0.000
Ho 0.000 0.000 0.500
Hg 0.739 0.261 0.750
Hg 0.261 0.739 0.250
CELL_PARAMETERS angstrom
2.121 -8.593 0.000
2.121 8.593 0.000
0.000 0.000 11.743
! E, eV for the cell shown: -45.07
! Total moment, μB/f.u.: 0.00



8.
! PBE SmBr2, relaxed; values from VASP
&SYSTEM
  ibrav = 0, nat = 6, ntyp = 2
/
ATOMIC_SPECIES
Br 79.90 Br.upf
Sm 150.36 Sm.upf
ATOMIC_POSITIONS crystal
Br 0.375 0.375 0.375
Br 0.375 0.875 0.375
Br 0.375 0.375 0.875
Br 0.875 0.375 0.375
Sm 0.500 0.500 0.500
Sm 0.250 0.250 0.250
CELL_PARAMETERS angstrom
0.874 4.895 7.596
8.106 3.364 2.325
1.521 8.936 -0.509
! E, eV for the cell shown: -23.17
! Total moment, μB/f.u.: 1.00



What is the total moment in the seventh record?
0.00 μB/f.u.